Below is a relaxed UNiAs3 crystal, with properties calculated at the PBE-GGA level.

The structure in POSCAR format:
```
UNiAs3
1.0
5.5216 0.0000 0.0000
0.0000 5.6534 0.0000
0.0000 0.0000 11.7112
U Ni As
4 4 12
Direct
0.7500 0.4915 0.6938 U
0.2500 0.5085 0.3062 U
0.7500 0.9915 0.3062 U
0.2500 0.0085 0.6938 U
0.5000 0.2500 0.0864 Ni
0.0000 0.7500 0.9136 Ni
0.5000 0.7500 0.9136 Ni
0.0000 0.2500 0.0864 Ni
0.0000 0.2500 0.4990 As
0.5000 0.7500 0.5010 As
0.0000 0.7500 0.5010 As
0.5000 0.2500 0.4990 As
0.2500 0.1021 0.9353 As
0.7500 0.8979 0.0647 As
0.2500 0.6021 0.0647 As
0.7500 0.3979 0.9353 As
0.2500 0.5142 0.7635 As
0.7500 0.4858 0.2365 As
0.2500 0.0142 0.2365 As
0.7500 0.9858 0.7635 As
```

Output
Its space-group type is Pbcm (57). The value obtained for the total magnetic moment is 7.87 Bohr magnetons per cell. The calculation puts the formation energy at -0.48 eV/atom.